LiPmGe2: relaxed, PBE.

- Total magnetization: 0.000 μB per atom
- ΔE to the lowest computed polymorph: 0.56 eV per formula unit
- Symmetry: No. 166
- Formation enthalpy at 0 K: -0.525 eV per atom

abc: 4.245 4.245 5.715
angles: 68.20 68.20 60.00
Sites, in units of the cell vectors:
Li 0.500 0.500 0.500
Pm 0.000 0.000 0.000
Ge 0.216 0.216 0.353
Ge 0.784 0.784 0.647